## Sc2TlCuTe4 (PBE)

Data for crystalline Sc2TlCuTe4 at its relaxed geometry.

Cell lengths 4.1997, 7.5927, 14.9705 Å; angles 90.00, 90.00, 106.06 degrees
Closest atoms and distances in Å follow each position.
Fractional coordinates of all 16 atoms:
Te  0.5561  0.1123  0.2500  2 Cu 2.60, 2 Sc 2.90
Te  0.7361  0.4722  0.8940  1 Cu 2.62, 2 Sc 2.92
Tl  0.8749  0.7498  0.2500  6 Te 3.38-3.42, 2 Cu 3.76
Te  0.0000  0.0000  0.0000  4 Sc 3.01
Sc  0.6296  0.2593  0.0697  6 Te 2.90-3.05
Sc  0.3704  0.7407  0.9303  6 Te 2.90-3.05
Te  0.0000  0.0000  0.5000  4 Sc 3.01
Cu  0.1614  0.3228  0.2500  4 Te 2.60-2.62
Sc  0.6296  0.2593  0.4303  6 Te 2.90-3.05
Te  0.2639  0.5278  0.3940  1 Cu 2.62, 2 Sc 2.92
Sc  0.3704  0.7407  0.5697  6 Te 2.90-3.05
Cu  0.8386  0.6772  0.7500  4 Te 2.60-2.62
Te  0.4439  0.8877  0.7500  2 Cu 2.60, 2 Sc 2.90
Te  0.2639  0.5278  0.1060  1 Cu 2.62, 2 Sc 2.92
Tl  0.1251  0.2502  0.7500  6 Te 3.38-3.42, 2 Cu 3.76
Te  0.7361  0.4722  0.6060  1 Cu 2.62, 2 Sc 2.92

Properties
* uncorrected formation energy: -79.35 kJ/mol of atoms
* space-group type: Cmcm
* magnetic moment: 0.000 μB per atom
* V: 28.67 Å³ per atom
* crystal system: orthorhombic


## Cr3Fe (PBE)

Data for crystalline Cr3Fe at its relaxed geometry.

Cell lengths 4.4849, 4.4849, 4.4849 Å; angles 90.00, 90.00, 90.00 degrees
Closest atoms and distances in Å follow each position.
Fractional coordinates of all 4 atoms:
Fe  0.0000  0.0000  0.0000  6 Cr 2.24
Cr  0.0000  0.5000  0.0000  2 Fe 2.24
Cr  0.0000  0.0000  0.5000  2 Fe 2.24
Cr  0.5000  0.0000  0.0000  2 Fe 2.24

Properties
* space-group type: Pm-3m
* energy of formation from the pure elements: 1.65 eV/atom
* magnetic moment: 2.253 μB per atom
* V: 22.55 Å³ per atom
* crystal system: cubic


## TbHoB4 (PBE)

Data for crystalline TbHoB4 at its relaxed geometry.

Cell lengths 3.5778, 3.5778, 6.3004 Å; angles 106.49, 106.49, 90.00 degrees
Closest atoms and distances in Å follow each position.
Fractional coordinates of all 6 atoms:
B  0.6723  0.1723  0.3446  1 B 1.79
Tb  0.0000  0.0000  0.0000  12 B 2.67-2.69
B  0.5787  0.5787  0.1574  1 B 1.82
B  0.4213  0.4213  0.8426  1 B 1.82
Ho  0.2500  0.7500  0.5000  12 B 2.67-2.68
B  0.8277  0.3277  0.6554  1 B 1.79

Properties
* space-group type: I-4m2
* energy of formation from the pure elements: -0.41 eV/atom
* magnetic moment: 0.000 μB per atom
* V: 12.31 Å³ per atom
* crystal system: tetragonal


## YCo2Ag (PBE)

Data for crystalline YCo2Ag at its relaxed geometry.

Cell lengths 4.1495, 4.1495, 9.5388 Å; angles 77.44, 77.44, 90.00 degrees
Closest atoms and distances in Å follow each position.
Fractional coordinates of all 8 atoms:
Co  0.3750  0.2391  0.7500  2 Co 2.28, 2 Ag 2.54
Ag  0.0000  0.0000  0.0000  4 Co 2.54
Y  0.5000  0.5000  0.0000  4 Ag 2.93, 4 Co 2.96
Co  0.9891  0.6250  0.2500  2 Co 2.28, 2 Ag 2.54
Y  0.2500  0.7500  0.5000  4 Ag 2.93, 4 Co 2.96
Co  0.8750  0.0109  0.7500  2 Co 2.28, 2 Ag 2.54
Co  0.7609  0.1250  0.2500  2 Co 2.28, 2 Ag 2.54
Ag  0.7500  0.2500  0.5000  4 Co 2.54

Properties
* space-group type: I-42d
* energy of formation from the pure elements: 0.41 eV/atom
* magnetic moment: 0.523 μB per atom
* V: 19.53 Å³ per atom
* crystal system: tetragonal